[1]
AlZnSb | PBE-GGA | relaxed

Structure (POSCAR):
```
AlZnSb
1.0
4.839 0.000 0.000
-2.419 4.190 0.000
0.000 0.000 3.142
Al Zn Sb
1 1 1
Direct
0.000 0.000 0.000 Al
0.333 0.667 0.655 Zn
0.667 0.333 0.286 Sb
```

Properties
The calculation puts the density of states at the Fermi level at 1.20 states/eV/cell. As for the energy above the most stable polymorph in this dataset: 0.095 eV/atom. The value obtained for the formation energy without anion corrections is 0.641 eV per formula unit.

=====

[2]
AlZn2Sb | PBE-GGA | relaxed

Structure (POSCAR):
```
AlZn2Sb
1.0
4.117 -1.828 0.000
4.117 1.828 0.000
-1.475 0.000 5.301
Al Zn Sb
1 2 1
Direct
0.000 0.000 0.000 Al
0.489 0.489 0.390 Zn
0.748 0.748 0.212 Zn
0.251 0.251 0.697 Sb
```

Properties
The calculation puts the density of states at the Fermi level at 1.58 states/eV/cell. As for the energy above the most stable polymorph in this dataset: 0.000 eV/atom. The value obtained for the formation energy without anion corrections is 0.485 eV per formula unit.

=====

[3]
AlZn2Sb | PBE-GGA | relaxed

Structure (POSCAR):
```
AlZn2Sb
1.0
3.182 0.000 0.000
0.000 3.919 0.000
-1.578 0.000 6.375
Al Zn Sb
1 2 1
Direct
0.000 0.000 0.000 Al
0.409 0.500 0.814 Zn
0.797 0.000 0.585 Zn
0.180 0.500 0.336 Sb
```

Properties
The calculation puts the density of states at the Fermi level at 1.50 states/eV/cell. As for the energy above the most stable polymorph in this dataset: 0.021 eV/atom. The value obtained for the formation energy without anion corrections is 0.571 eV per formula unit.